Ag2SnBi: relaxed, GGA-PBE.

Summary:
ΔH_f (0 K) (eV/atom): 0.055
Total magnetization (μB/f.u.): 0.00

Lattice parameters (Å, degrees): 5.663 7.952 8.905 90.00 90.00 90.00
Sites, in units of the cell vectors:
Ag  0.500  0.750  0.141
Ag  0.000  0.750  0.141
Ag  0.000  0.250  0.386
Ag  0.000  0.250  0.859
Ag  0.000  0.750  0.614
Ag  0.500  0.750  0.614
Ag  0.500  0.250  0.859
Ag  0.500  0.250  0.386
Sn  0.750  0.070  0.622
Sn  0.250  0.430  0.622
Sn  0.250  0.930  0.378
Sn  0.750  0.570  0.378
Bi  0.250  0.416  0.126
Bi  0.250  0.916  0.874
Bi  0.750  0.084  0.126
Bi  0.750  0.584  0.874